<one>
Li2CuNiH: relaxed, PBE.

Output
Calculated volume, Å³/atom: 9.93

POSCAR file:
```
Li2CuNiH
1.0
3.711 0.000 0.000
0.000 3.711 0.000
0.000 0.000 3.607
Ni H Cu Li
1 1 1 2
direct
0.500 0.500 0.500
0.000 0.000 0.000
0.000 0.000 0.500
0.000 0.500 0.000
0.500 0.000 0.000
```

<two>
Li2CuNiH: relaxed, PBE.

Output
Calculated volume, Å³/atom: 9.85

POSCAR file:
```
Li2CuNiH
1.0
3.722 0.000 0.000
0.000 3.722 0.000
0.000 0.000 3.555
Ni H Cu Li
1 1 1 2
direct
0.000 0.000 0.500
0.000 0.000 0.000
0.500 0.500 0.500
0.000 0.500 0.000
0.500 0.000 0.000
```

According to the calculations, the structures order from most to least stable as <two>, <one>.